First-principles (PBE) data for a relaxed structure of Er2B2SbRh5, as listed in the Alexandria database.

Results
The value obtained for the energy relative to the elements, uncorrected is -820 meV per atom. The space group is No. 127. The volume comes out at 14.94 A^3/atom. Its calculated total energy is -7.156 eV/atom.

a = 3.309 Å, b = 9.502 Å, c = 9.502 Å
α = 90.00°, β = 90.00°, γ = 90.00°
Element x y z (fractional)
Er1 0.000 0.675 0.175
Er2 0.000 0.325 0.825
Er3 0.000 0.175 0.325
Er4 0.000 0.825 0.675
B1 0.000 0.120 0.620
B2 0.000 0.880 0.380
B3 0.000 0.620 0.880
B4 0.000 0.380 0.120
Sb1 0.000 0.000 0.000
Sb2 0.000 0.500 0.500
Rh1 0.500 0.224 0.071
Rh2 0.500 0.776 0.929
Rh3 0.500 0.071 0.776
Rh4 0.500 0.724 0.429
Rh5 0.500 0.929 0.224
Rh6 0.500 0.276 0.571
Rh7 0.500 0.571 0.724
Rh8 0.500 0.429 0.276
Rh9 0.500 0.500 0.000
Rh10 0.500 0.000 0.500

***

First-principles (PBE) data for a relaxed structure of La3GaO, as listed in the Alexandria database.

Results
The value obtained for the energy relative to the elements, uncorrected is -982 meV per atom. The space group is No. 119. The volume comes out at 30.13 A^3/atom. Its calculated total energy is -5.535 eV/atom.

a = 6.950 Å, b = 6.950 Å, c = 7.940 Å
α = 64.05°, β = 64.05°, γ = 90.00°
Element x y z (fractional)
O1 0.000 0.000 0.000
O2 0.250 0.750 0.500
Ga1 0.635 0.135 0.730
Ga2 0.865 0.365 0.270
La1 0.147 0.885 0.229
La2 0.115 0.853 0.771
La3 0.115 0.377 0.771
La4 0.623 0.885 0.229
La5 0.371 0.371 0.258
La6 0.629 0.629 0.742

***

The highest calculated total energy belongs to which entry?
La3GaO

***

What is the energy relative to the elements, uncorrected in the second record?
-982 meV per atom

***

Number 1 is which compound?
Er2B2SbRh5